Record 1
# NaCaPtPb2 (PBEsol, relaxed)
data_NaCaPtPb2
_chemical_formula_sum 'Na1 Ca1 Pt1 Pb2'
_cell_length_a 5.252
_cell_length_b 5.252
_cell_length_c 4.898
_cell_angle_alpha 90.00
_cell_angle_beta 90.00
_cell_angle_gamma 90.00
_space_group_name_H-M_alt 'P 4/m m m'
_space_group_IT_number 123
_space_group_name_Hall '-P 4 2'
loop_
_atom_site_label
_atom_site_type_symbol
_atom_site_fract_x
_atom_site_fract_y
_atom_site_fract_z
Na1 Na 0.000 0.000 0.000
Ca1 Ca 0.500 0.500 0.500
Pt1 Pt 0.000 0.000 0.500
Pb1 Pb 0.000 0.500 0.000
# **ΔE_f**: 0.374 eV per atom



Record 2
# NaCaPd3 (PBEsol, relaxed)
data_NaCaPd3
_chemical_formula_sum 'Na1 Ca1 Pd3'
_cell_length_a 4.659
_cell_length_b 4.659
_cell_length_c 4.659
_cell_angle_alpha 90.00
_cell_angle_beta 90.00
_cell_angle_gamma 90.00
_space_group_name_H-M_alt 'P m -3 m'
_space_group_IT_number 221
_space_group_name_Hall '-P 4 2 3'
loop_
_atom_site_label
_atom_site_type_symbol
_atom_site_fract_x
_atom_site_fract_y
_atom_site_fract_z
Na1 Na 0.000 0.000 0.000
Ca1 Ca 0.500 0.500 0.500
Pd1 Pd 0.000 0.000 0.500
# **ΔE_f**: 0.396 eV per atom



- What is the formula in the second record?
  NaCaPd3